(1)
Material: LiCa2In5Rh2
Method: DFT, PBE
State: relaxed

a = 10.497 Å, b = 10.497 Å, c = 4.056 Å
α = 90.00°, β = 90.00°, γ = 90.00°
Atoms (fractional coordinates):
Li 0.000 0.000 0.000
Li 0.500 0.500 0.000
Ca 0.178 0.322 0.000
Ca 0.322 0.822 0.000
Ca 0.678 0.178 0.000
Ca 0.822 0.678 0.000
In 0.000 0.500 0.500
In 0.063 0.798 0.500
In 0.202 0.063 0.500
In 0.298 0.563 0.500
In 0.437 0.298 0.500
In 0.500 0.000 0.500
In 0.563 0.702 0.500
In 0.702 0.437 0.500
In 0.798 0.937 0.500
In 0.937 0.202 0.500
Rh 0.123 0.623 0.000
Rh 0.377 0.123 0.000
Rh 0.623 0.877 0.000
Rh 0.877 0.377 0.000

Calculated density: 6.4 g/cm3
Total magnetization: 0.00 μB/f.u.
Symmetry: P4/mbm, No. 127
Formation energy from the elements: -4.5 eV/f.u.
Raw total energy: -3.876 eV per atom

(2)
Material: Li2CaInRh
Method: DFT, PBE
State: relaxed

a = 4.756 Å, b = 4.756 Å, c = 5.131 Å
α = 90.00°, β = 90.00°, γ = 90.00°
Atoms (fractional coordinates):
Li 0.000 0.500 0.000
Li 0.500 0.000 0.000
Ca 0.000 0.000 0.500
In 0.500 0.500 0.500
Rh 0.500 0.500 0.000

Calculated density: 3.9 g/cm3
Energy above the lowest structure with this stoichiometry: 0 meV per atom
Total magnetization: 0.00 μB/f.u.
Symmetry: P4/mmm, No. 123
Formation energy from the elements: -0.7 eV/f.u.
Raw total energy: -3.332 eV per atom

(3)
Material: Li2CaInRh
Method: DFT, PBE
State: relaxed

a = 4.769 Å, b = 4.769 Å, c = 5.706 Å
α = 90.00°, β = 90.00°, γ = 90.00°
Atoms (fractional coordinates):
Li 0.000 0.500 0.000
Li 0.500 0.000 0.000
Ca 0.000 0.000 0.500
In 0.000 0.000 0.000
Rh 0.500 0.500 0.500

Calculated density: 3.5 g/cm3
Energy above the lowest structure with this stoichiometry: 784 meV per atom
Total magnetization: 0.00 μB/f.u.
Symmetry: P4/mmm, No. 123
Formation energy from the elements: 3.2 eV/f.u.
Raw total energy: -2.548 eV per atom

Q: The highest raw total energy belongs to which entry?
A: number 3